No. 1
Material: Tc3Rh2
Method: DFT, PBE
State: relaxed

Lattice parameters (Å, degrees): 4.1586 4.1586 5.4550 90.00 90.00 120.00
With the nearest neighbours (Å) after each atom.
Fractional coordinates of all 5 atoms:
Tc (0.0000, 0.0000, 0.0000)  6 Rh 2.50
Tc (0.3333, 0.6667, 0.4040)  4 Rh 2.55-2.83, 3 Tc 2.62
Tc (0.6667, 0.3333, 0.5960)  4 Rh 2.55-2.83, 3 Tc 2.62
Rh (0.3333, 0.6667, 0.8708)  4 Tc 2.50-2.55, 3 Rh 2.78
Rh (0.6667, 0.3333, 0.1292)  4 Tc 2.50-2.55, 3 Rh 2.78

- Crystal system: trigonal
- V: 16.34 Å³/atom
- Uncorrected energy: -42.8 eV/f.u.
- DOS(E_F): 1.273 states/eV per atom
- SG: P-3m1 (164)

No. 2
Material: Pr5TeP4
Method: DFT, PBE
State: relaxed

Lattice parameters (Å, degrees): 11.3502 11.3502 11.3502 158.46 149.00 38.06
With the nearest neighbours (Å) after each atom.
Fractional coordinates of all 10 atoms:
Pr (0.0000, 0.0000, 0.0000)  4 P 3.01, 2 Te 3.03
Pr (0.1987, 0.1987, 0.0000)  6 P 2.99-3.03
Pr (0.3875, 0.3875, 0.0000)  4 P 2.88-3.05, 2 Te 3.21
Pr (0.6125, 0.6125, 0.0000)  4 P 2.88-3.05, 2 Te 3.21
Pr (0.8013, 0.8013, 0.0000)  6 P 2.99-3.03
Te (0.5000, 0.0000, 0.5000)  6 Pr 3.03-3.21
P (0.0998, 0.5998, 0.5000)  6 Pr 3.00-3.05
P (0.2967, 0.7967, 0.5000)  6 Pr 2.88-3.03
P (0.7033, 0.2033, 0.5000)  6 Pr 2.88-3.03
P (0.9002, 0.4002, 0.5000)  6 Pr 3.00-3.05

- Crystal system: orthorhombic
- V: 27.61 Å³/atom
- Uncorrected energy: -63.9 eV/f.u.
- DOS(E_F): 0.280 states/eV per atom
- SG: Immm (71)

No. 3
Material: Cs4Ca3TlF12
Method: DFT, PBE
State: relaxed

Lattice parameters (Å, degrees): 8.0332 8.0332 8.0332 109.47 109.47 109.47
With the nearest neighbours (Å) after each atom.
Fractional coordinates of all 20 atoms:
Cs (0.0000, 0.0000, 0.5000)  12 F 3.28
Cs (0.0000, 0.5000, 0.0000)  12 F 3.28
Cs (0.5000, 0.0000, 0.0000)  12 F 3.28
Cs (0.5000, 0.5000, 0.5000)  12 F 3.28
Ca (0.0000, 0.5000, 0.5000)  6 F 2.24-2.32
Ca (0.5000, 0.0000, 0.5000)  6 F 2.24-2.32
Ca (0.5000, 0.5000, 0.0000)  6 F 2.24-2.32
Tl (0.0000, 0.0000, 0.0000)  6 F 2.40
F (0.0000, 0.2586, 0.2586)  1 Ca 2.24, 1 Tl 2.40
F (0.0000, 0.7414, 0.7414)  1 Ca 2.24, 1 Tl 2.40
F (0.2500, 0.5000, 0.7500)  2 Ca 2.32
F (0.2500, 0.7500, 0.5000)  2 Ca 2.32
F (0.2586, 0.0000, 0.2586)  1 Ca 2.24, 1 Tl 2.40
F (0.2586, 0.2586, 0.0000)  1 Ca 2.24, 1 Tl 2.40
F (0.5000, 0.2500, 0.7500)  2 Ca 2.32
F (0.5000, 0.7500, 0.2500)  2 Ca 2.32
F (0.7414, 0.0000, 0.7414)  1 Ca 2.24, 1 Tl 2.40
F (0.7414, 0.7414, 0.0000)  1 Ca 2.24, 1 Tl 2.40
F (0.7500, 0.2500, 0.5000)  2 Ca 2.32
F (0.7500, 0.5000, 0.2500)  2 Ca 2.32

- Crystal system: cubic
- V: 19.95 Å³/atom
- Uncorrected energy: -96.9 eV/f.u.
- DOS(E_F): 0.130 states/eV per atom
- SG: Im-3m (229)

No. 4
Material: NaSr2CaAg
Method: DFT, PBE
State: relaxed

Lattice parameters (Å, degrees): 6.1955 6.1955 5.7699 90.00 90.00 90.00
With the nearest neighbours (Å) after each atom.
Fractional coordinates of all 5 atoms:
Na (0.0000, 0.0000, 0.0000)  2 Ag 2.88
Sr (0.0000, 0.5000, 0.5000)  2 Ag 3.10
Sr (0.5000, 0.0000, 0.5000)  2 Ag 3.10
Ca (0.5000, 0.5000, 0.0000)  8 Sr 4.23, 4 Na 4.38
Ag (0.0000, 0.0000, 0.5000)  2 Na 2.88, 4 Sr 3.10

- Crystal system: tetragonal
- V: 44.30 Å³/atom
- Uncorrected energy: -9.4 eV/f.u.
- DOS(E_F): 0.868 states/eV per atom
- SG: P4/mmm (123)

No. 5
Material: LaSmMgAu
Method: DFT, PBE
State: relaxed

Lattice parameters (Å, degrees): 5.3844 5.3844 5.3844 60.00 60.00 60.00
With the nearest neighbours (Å) after each atom.
Fractional coordinates of all 4 atoms:
La (0.0000, 0.0000, 0.0000)  4 Mg 3.30, 4 Au 3.30
Sm (0.5000, 0.5000, 0.5000)  4 Au 3.30, 4 Mg 3.30
Mg (0.2500, 0.2500, 0.2500)  4 Sm 3.30, 4 La 3.30
Au (0.7500, 0.7500, 0.7500)  4 Sm 3.30, 4 La 3.30

- Crystal system: cubic
- V: 27.60 Å³/atom
- Uncorrected energy: -16.0 eV/f.u.
- DOS(E_F): 0.992 states/eV per atom
- SG: F-43m (216)

No. 6
Material: Sr5Ac3Se8
Method: DFT, PBE
State: relaxed

Lattice parameters (Å, degrees): 8.9139 8.9139 8.9139 59.79 59.79 59.79
With the nearest neighbours (Å) after each atom.
Fractional coordinates of all 16 atoms:
Sr (0.0000, 0.0000, 0.0000)  6 Se 3.15
Sr (0.0000, 0.5000, 0.5000)  6 Se 3.13-3.14
Sr (0.5000, 0.0000, 0.5000)  6 Se 3.13-3.14
Sr (0.5000, 0.5000, 0.0000)  6 Se 3.13-3.14
Sr (0.5000, 0.5000, 0.5000)  6 Se 3.15
Ac (0.0000, 0.0000, 0.5000)  6 Se 3.16
Ac (0.0000, 0.5000, 0.0000)  6 Se 3.16
Ac (0.5000, 0.0000, 0.0000)  6 Se 3.16
Se (0.2500, 0.2500, 0.7486)  4 Sr 3.14-3.15, 2 Ac 3.16
Se (0.2500, 0.7486, 0.2500)  4 Sr 3.14-3.15, 2 Ac 3.16
Se (0.2514, 0.2514, 0.2514)  3 Sr 3.13, 3 Ac 3.16
Se (0.2514, 0.7500, 0.7500)  4 Sr 3.14-3.15, 2 Ac 3.16
Se (0.7486, 0.2500, 0.2500)  4 Sr 3.14-3.15, 2 Ac 3.16
Se (0.7486, 0.7486, 0.7486)  3 Sr 3.13, 3 Ac 3.16
Se (0.7500, 0.2514, 0.7500)  4 Sr 3.14-3.15, 2 Ac 3.16
Se (0.7500, 0.7500, 0.2514)  4 Sr 3.14-3.15, 2 Ac 3.16

- Crystal system: trigonal
- V: 31.15 Å³/atom
- Uncorrected energy: -80.2 eV/f.u.
- DOS(E_F): 0.261 states/eV per atom
- SG: R-3m (166)

No. 7
Material: CsBa2HS
Method: DFT, PBE
State: relaxed

Lattice parameters (Å, degrees): 5.2766 5.2766 6.3320 90.00 90.00 90.00
With the nearest neighbours (Å) after each atom.
Fractional coordinates of all 5 atoms:
Cs (0.0000, 0.0000, 0.0000)  4 S 3.73, 8 Ba 4.12
Ba (0.0000, 0.5000, 0.5000)  2 H 2.64
Ba (0.5000, 0.0000, 0.5000)  2 H 2.64
H (0.5000, 0.5000, 0.5000)  4 Ba 2.64
S (0.5000, 0.5000, 0.0000)  2 H 3.17

- Crystal system: tetragonal
- V: 35.26 Å³/atom
- Uncorrected energy: -13.9 eV/f.u.
- DOS(E_F): 0.368 states/eV per atom
- SG: P4/mmm (123)

No. 8
Material: RbCd
Method: DFT, PBE
State: relaxed

Lattice parameters (Å, degrees): 9.4825 9.4825 9.4825 31.44 31.44 31.44
With the nearest neighbours (Å) after each atom.
Fractional coordinates of all 4 atoms:
Rb (0.0915, 0.0915, 0.0915)  6 Cd 3.86-3.87
Rb (0.9085, 0.9085, 0.9085)  6 Cd 3.86-3.87
Cd (0.3331, 0.3331, 0.3331)  3 Cd 2.97
Cd (0.6669, 0.6669, 0.6669)  3 Cd 2.97

- Crystal system: trigonal
- V: 51.48 Å³/atom
- Uncorrected energy: -2.0 eV/f.u.
- DOS(E_F): 0.741 states/eV per atom
- SG: R-3m (166)

No. 9
Material: AcMgHgAu
Method: DFT, PBE
State: relaxed

Lattice parameters (Å, degrees): 4.9635 4.9635 5.7610 115.85 115.85 60.34
With the nearest neighbours (Å) after each atom.
Fractional coordinates of all 4 atoms:
Ac (0.0000, 0.0000, 0.0000)  4 Au 3.23-3.36, 4 Hg 3.29-3.36
Mg (0.5142, 0.5142, 0.5437)  3 Au 2.91-2.92, 3 Hg 3.07
Hg (0.7745, 0.7745, 0.3240)  3 Mg 3.07, 3 Au 3.27-3.31, 4 Ac 3.29-3.36
Au (0.2160, 0.2160, 0.6491)  3 Mg 2.91-2.92, 1 Ac 3.23

- Crystal system: monoclinic
- V: 26.63 Å³/atom
- Uncorrected energy: -11.5 eV/f.u.
- DOS(E_F): 0.727 states/eV per atom
- SG: Cm (8)

No. 10
Material: CdRu
Method: DFT, PBE
State: relaxed

Lattice parameters (Å, degrees): 2.8619 2.8619 9.6241 90.00 90.00 120.00
With the nearest neighbours (Å) after each atom.
Fractional coordinates of all 4 atoms:
Cd (0.3333, 0.6667, 0.3551)  6 Cd 2.86, 3 Ru 2.94
Cd (0.6667, 0.3333, 0.6449)  6 Cd 2.86, 3 Ru 2.94
Ru (0.3333, 0.6667, 0.8973)  9 Ru 2.58-2.86
Ru (0.6667, 0.3333, 0.1027)  9 Ru 2.58-2.86

- Crystal system: trigonal
- V: 17.07 Å³/atom
- Uncorrected energy: -9.8 eV/f.u.
- DOS(E_F): 0.586 states/eV per atom
- SG: P-3m1 (164)

No. 11
Material: CuP2S
Method: DFT, PBE
State: relaxed

Lattice parameters (Å, degrees): 6.6701 6.6701 6.6701 133.99 133.99 67.10
With the nearest neighbours (Å) after each atom.
Fractional coordinates of all 8 atoms:
Cu (0.0000, 0.0000, 0.0000)  4 P 2.25
Cu (0.7500, 0.2500, 0.5000)  4 P 2.25
P (0.1032, 0.6250, 0.9782)  2 Cu 2.25, 2 S 2.37
P (0.3750, 0.3532, 0.4782)  2 Cu 2.25, 2 S 2.37
P (0.6468, 0.1250, 0.0218)  2 Cu 2.25, 2 S 2.37
P (0.8750, 0.8968, 0.5218)  2 Cu 2.25, 2 S 2.37
S (0.2500, 0.7500, 0.5000)  4 P 2.37
S (0.5000, 0.5000, 0.0000)  4 P 2.37

- Crystal system: tetragonal
- V: 18.89 Å³/atom
- Uncorrected energy: -17.6 eV/f.u.
- DOS(E_F): 0.426 states/eV per atom
- SG: I-42d (122)

No. 12
Material: Pr2CuSb4
Method: DFT, PBE
State: relaxed

Lattice parameters (Å, degrees): 4.4323 4.4323 9.7505 90.00 90.00 90.00
With the nearest neighbours (Å) after each atom.
Fractional coordinates of all 7 atoms:
Pr (0.0000, 0.5000, 0.2375)  2 Cu 3.20, 8 Sb 3.29-3.39
Pr (0.5000, 0.0000, 0.7625)  2 Cu 3.20, 8 Sb 3.29-3.39
Cu (0.5000, 0.5000, 0.0000)  4 Sb 2.58
Sb (0.0000, 0.0000, 0.5000)  4 Sb 3.13, 4 Pr 3.39
Sb (0.0000, 0.5000, 0.8638)  2 Cu 2.58
Sb (0.5000, 0.0000, 0.1362)  2 Cu 2.58
Sb (0.5000, 0.5000, 0.5000)  4 Sb 3.13, 4 Pr 3.39

- Crystal system: tetragonal
- V: 27.36 Å³/atom
- Uncorrected energy: -35.3 eV/f.u.
- DOS(E_F): 0.421 states/eV per atom
- SG: P-4m2 (115)